Material: MgAlRe2
Method: DFT, GGA-PBE
State: optimized geometry

```
MgAlRe2
1.0
2.6981 0.0000 0.0000
0.0000 4.4050 0.0000
-0.9340 0.0000 5.1304
Mg Al Re
1 1 2
Cartesian
0.0000 0.0000 0.0000
0.8820 0.0000 2.5652
0.0126 2.2025 3.8500
1.7514 2.2025 1.2804
```

Its relative energy among the computed polymorphs is 206 meV/atom. The calculation puts the final energy at -29.7 eV per cell. For the density of states at the Fermi level, the calculation gives 1.92 states/eV per cell. The calculation puts the theoretical density at 11.539 Mg/m³. The formation energy comes out at 0.129 eV/atom.